The following is a GGA-PBE calculation of LiTi2O2 after structural relaxation, from the Alexandria database.

Summary:
As for the formation energy without anion corrections: -1.09 eV/atom. The value obtained for the total energy is -66.185 eV for the cell shown. The magnetic moment is 0.0001 μB/atom. The space group is No. 127.

```
LiTi2O2
1.0
-4.879 -2.810 -2.702
3.614 -4.882 -1.450
-0.626 -1.156 2.331
O Ti Li
4 4 2
Cartesian
-0.333 -6.573 -1.812
-1.557 -2.274 -0.009
1.316 -4.101 -0.144
-3.207 -4.746 -1.677
0.492 -2.120 -0.919
-1.756 -5.572 -3.234
1.371 -5.095 -2.158
-2.636 -2.596 -1.994
0.000 0.000 0.000
-0.632 -3.846 -2.076
```